1.
## ZnCoW4C2 (PBE)

Data for a relaxed structure of ZnCoW4C2.

Properties
The value obtained for the total energy is -9.665 eV/atom.

Unit cell a=3.032 b=3.032 c=13.060 alpha=90.00 beta=90.00 gamma=120.00
Fractional coordinates of all 8 atoms:
Zn 0.000 0.000 0.000
Co 0.333 0.667 0.500
W 0.000 0.000 0.352
W 0.000 0.000 0.648
W 0.333 0.667 0.170
W 0.333 0.667 0.830
C 0.667 0.333 0.259
C 0.667 0.333 0.741

---

2.
## Ba3Er2Cu2PtS10 (PBE)

Data for a relaxed structure of Ba3Er2Cu2PtS10.

Properties
The value obtained for the total energy is -5.172 eV/atom.

Unit cell a=8.141 b=8.141 c=8.793 alpha=106.13 beta=106.13 gamma=48.84
Fractional coordinates of all 18 atoms:
Ba 0.000 0.000 0.000
Ba 0.156 0.156 0.562
Ba 0.844 0.844 0.438
Er 0.324 0.324 0.131
Er 0.676 0.676 0.869
Cu 0.407 0.407 0.777
Cu 0.593 0.593 0.223
Pt 0.500 0.500 0.500
S 0.089 0.549 0.873
S 0.248 0.716 0.286
S 0.284 0.752 0.714
S 0.332 0.332 0.454
S 0.451 0.911 0.127
S 0.549 0.089 0.873
S 0.668 0.668 0.546
S 0.716 0.248 0.286
S 0.752 0.284 0.714
S 0.911 0.451 0.127

---

3.
## UH4C4N4Cl4 (PBE)

Data for a relaxed structure of UH4C4N4Cl4.

Properties
The value obtained for the total energy is -6.332 eV/atom.

Unit cell a=7.252 b=7.252 c=7.252 alpha=104.59 beta=104.59 gamma=119.74
Fractional coordinates of all 17 atoms:
U 0.000 0.000 0.000
H 0.212 0.443 0.602
H 0.390 0.788 0.231
H 0.557 0.159 0.769
H 0.841 0.610 0.398
C 0.172 0.355 0.702
C 0.530 0.828 0.183
C 0.645 0.347 0.817
C 0.653 0.470 0.298
N 0.126 0.257 0.806
N 0.451 0.321 0.194
N 0.679 0.874 0.130
N 0.743 0.549 0.870
Cl 0.044 0.378 0.214
Cl 0.164 0.829 0.786
Cl 0.171 0.956 0.335
Cl 0.622 0.836 0.665